Model 1:
LiFeSbTe2 | PBE | optimized geometry

Calculated values
Space-group type ... P4/mmm, No. 123

Cell lengths 5.1454, 5.1454, 4.8112 Å; angles 90.00, 90.00, 90.00 degrees
With the nearest neighbours (Å) after each atom.
Positions (direct):
Sb1 0.0000 0.0000 0.5000  2 Li 2.41
Te1 0.0000 0.5000 0.0000  2 Li 2.57
Te2 0.5000 0.0000 0.0000  2 Li 2.57
Fe1 0.5000 0.5000 0.5000  8 Te 3.52, 4 Sb 3.64
Li1 0.0000 0.0000 0.0000  2 Sb 2.41, 4 Te 2.57

Model 2:
LiFeSbTe2 | PBE | optimized geometry

Calculated values
Space-group type ... P4/mmm, No. 123

Cell lengths 5.3738, 5.3738, 4.8541 Å; angles 90.00, 90.00, 90.00 degrees
With the nearest neighbours (Å) after each atom.
Positions (direct):
Sb1 0.0000 0.0000 0.5000  2 Fe 2.43
Te1 0.0000 0.5000 0.0000  2 Fe 2.69
Te2 0.5000 0.0000 0.0000  2 Fe 2.69
Fe1 0.0000 0.0000 0.0000  2 Sb 2.43, 4 Te 2.69
Li1 0.5000 0.5000 0.5000  8 Te 3.62, 4 Sb 3.80

Top of the stability list: model 2, leading by 533 meV/atom.